## Sr2TaSe (SCAN)

Data for a crystal of Sr2TaSe relaxed with PBEsol.

Unit cell a=4.340 b=4.368 c=6.568 alpha=90.00 beta=90.00 gamma=90.00
Fractional positions:
Sr (0.000, 0.000, 0.000)
Sr (0.500, 0.500, 0.379)
Ta (0.000, 0.000, 0.510)
Se (0.500, 0.500, 0.892)

Output
E_form (uncorrected)	0.296	eV per atom
Fermi-level density of states	4.17	states/eV per cell
M_tot	3.7	μB per formula unit


## SrTaSe (SCAN)

Data for a crystal of SrTaSe relaxed with PBEsol.

Unit cell a=4.892 b=4.892 c=4.892 alpha=60.00 beta=60.00 gamma=60.00
Fractional positions:
Sr (0.000, 0.000, 0.000)
Ta (0.250, 0.250, 0.250)
Se (0.500, 0.500, 0.500)

Output
E_form (uncorrected)	0.801	eV per atom
Fermi-level density of states	1.80	states/eV per cell
M_tot	4.7	μB per formula unit


## SrTaSe2 (SCAN)

Data for a crystal of SrTaSe2 relaxed with PBEsol.

Unit cell a=9.554 b=9.554 c=9.554 alpha=21.69 beta=21.69 gamma=21.69
Fractional positions:
Sr (0.000, 0.000, 0.000)
Ta (0.500, 0.500, 0.500)
Se (0.110, 0.110, 0.110)
Se (0.890, 0.890, 0.890)

Output
E_form (uncorrected)	-0.587	eV per atom
Fermi-level density of states	2.91	states/eV per cell
M_tot	0.0	μB per formula unit


## Sr2TaSe (SCAN)

Data for a crystal of Sr2TaSe relaxed with PBEsol.

Unit cell a=3.506 b=3.506 c=9.149 alpha=90.00 beta=90.00 gamma=90.00
Fractional positions:
Sr (0.000, 0.000, 0.000)
Sr (0.500, 0.500, 0.390)
Ta (0.000, 0.000, 0.646)
Se (0.500, 0.500, 0.758)

Output
E_form (uncorrected)	-0.060	eV per atom
Fermi-level density of states	3.69	states/eV per cell
M_tot	0.1	μB per formula unit


## Sr2TaSe (SCAN)

Data for a crystal of Sr2TaSe relaxed with PBEsol.

Unit cell a=5.454 b=5.454 c=5.454 alpha=119.68 beta=119.68 gamma=90.56
Fractional positions:
Sr (0.250, 0.750, 0.500)
Sr (0.750, 0.250, 0.500)
Ta (0.000, 0.000, 0.000)
Se (0.500, 0.500, 0.000)

Output
E_form (uncorrected)	0.347	eV per atom
Fermi-level density of states	2.03	states/eV per cell
M_tot	4.8	μB per formula unit


## SrTaZn2Se (SCAN)

Data for a crystal of SrTaZn2Se relaxed with PBEsol.

Unit cell a=4.858 b=4.858 c=5.491 alpha=90.00 beta=90.00 gamma=90.00
Fractional positions:
Sr (0.000, 0.000, 0.000)
Ta (0.500, 0.500, 0.000)
Zn (0.000, 0.500, 0.500)
Zn (0.500, 0.000, 0.500)
Se (0.000, 0.000, 0.500)

Output
E_form (uncorrected)	0.970	eV per atom
Fermi-level density of states	3.50	states/eV per cell
M_tot	3.3	μB per formula unit


## SrTc2Se (SCAN)

Data for a crystal of SrTc2Se relaxed with PBEsol.

Unit cell a=3.096 b=3.096 c=7.763 alpha=90.00 beta=90.00 gamma=90.00
Fractional positions:
Sr (0.000, 0.000, 0.000)
Tc (0.500, 0.500, 0.325)
Tc (0.500, 0.500, 0.675)
Se (0.000, 0.000, 0.500)

Output
E_form (uncorrected)	0.692	eV per atom
Fermi-level density of states	4.97	states/eV per cell
M_tot	0.0	μB per formula unit


## SrTcSe2 (SCAN)

Data for a crystal of SrTcSe2 relaxed with PBEsol.

Unit cell a=7.736 b=7.736 c=7.736 alpha=135.57 beta=135.57 gamma=64.65
Fractional positions:
Sr (0.000, 0.000, 0.000)
Sr (0.750, 0.250, 0.500)
Tc (0.250, 0.750, 0.500)
Tc (0.500, 0.500, 0.000)
Se (0.215, 0.625, 0.090)
Se (0.375, 0.465, 0.590)
Se (0.535, 0.125, 0.910)
Se (0.875, 0.785, 0.410)

Output
E_form (uncorrected)	-0.635	eV per atom
Fermi-level density of states	4.84	states/eV per cell
M_tot	0.0	μB per formula unit